No. 1
Compound: DyEr3Ru3
Source: Alexandria
Functional: PBE
Structure: relaxed

abc: 9.4732 9.4732 5.7892
angles: 90.00 90.00 120.00
Space group R3m (No. 160, hexagonal axes)
Symmetry-distinct sites (fractional):
Dy 0.0000 0.0000 0.0000 x3
Er 0.0570 0.5285 0.1146 x9
Ru 0.9998 0.4999 0.5866 x9

Computed properties:
The total moment is 0.000 Bohr magnetons per cell. The theoretical density comes out at 10.71 g cm⁻³. Its energy relative to the elements is -0.4038 eV/atom.


No. 2
Compound: BaTlBiPb2
Source: Alexandria
Functional: PBE
Structure: relaxed

abc: 5.823 5.823 6.146
angles: 90.00 90.00 90.00
Space group P4/mmm (No. 123)
Symmetry-distinct sites (fractional):
Ba 0.000 0.000 0.000 x1
Tl 0.500 0.500 0.500 x1
Bi 0.500 0.500 0.000 x1
Pb 0.000 0.500 0.500 x2

Computed properties:
The total moment is 0.000 Bohr magnetons per cell. The theoretical density comes out at 7.69 g cm⁻³. Its energy relative to the elements is 0.0808 eV/atom.


No. 3
Compound: SrMo2Os
Source: Alexandria
Functional: PBE
Structure: relaxed

abc: 2.880 2.880 9.274
angles: 90.00 90.00 90.00
Space group P4/mmm (No. 123)
Symmetry-distinct sites (fractional):
Sr 0.000 0.000 0.000 x1
Mo 0.500 0.500 0.306 x2
Os 0.000 0.000 0.500 x1

Computed properties:
The total moment is 0.000 Bohr magnetons per cell. The theoretical density comes out at 10.14 g cm⁻³. Its energy relative to the elements is 0.7211 eV/atom.